The following is a DFT calculation (GGA-PBE) of crystalline Cs2TeOsS2 at its relaxed geometry.

CIF file:
```
data_Cs2TeOsS2
_chemical_formula_sum 'Cs8 Te4 Os4 S8'
_cell_length_a 14.097
_cell_length_b 7.453
_cell_length_c 10.263
_cell_angle_alpha 90.00
_cell_angle_beta 122.49
_cell_angle_gamma 90.00
_space_group_name_H-M_alt 'C 1 2/m 1'
_space_group_IT_number 12
loop_
_space_group_symop_operation_xyz
'x,y,z'
'-x,-y,-z'
'-x,y,-z'
'x,-y,z'
'x+1/2,y+1/2,z'
'-x+1/2,-y+1/2,-z'
'-x+1/2,y+1/2,-z'
'x+1/2,-y+1/2,z'
loop_
_atom_site_label
_atom_site_type_symbol
_atom_site_fract_x
_atom_site_fract_y
_atom_site_fract_z
Cs1 Cs 0.072 0.000 0.358
Cs2 Cs 0.218 0.500 0.838
Te1 Te 0.106 0.500 0.399
Os1 Os 0.101 0.500 0.144
S1 S 0.000 0.261 0.000
S2 S 0.216 0.000 0.769
```

Summary:
Raw total energy: -4.62 eV/atom
Total moment: 1.84 μB/f.u.
V: 37.90 A^3/atom